Record 1
Entry from Alexandria via LeMat-Bulk: a relaxed TaMnTe2 crystal (PBE).

E_form (uncorrected) = 0.134 eV per atom
Symmetry = P2/m, No. 10

Cell: 3.457 3.448 6.874 Å, 90.00 90.08 90.00°
Positions (direct):
Ta: 0.000 0.000 0.000
Mn: 0.000 0.000 0.500
Te: 0.500 0.500 0.242
Te: 0.500 0.500 0.758

Record 2
Entry from Alexandria via LeMat-Bulk: a relaxed TaMn2Te crystal (PBE).

E_form (uncorrected) = 0.363 eV per atom
Symmetry = R-3m, No. 166

Cell: 8.226 8.226 8.226 Å, 22.46 22.46 22.46°
Positions (direct):
Ta: 0.000 0.000 0.000
Mn: 0.255 0.255 0.255
Mn: 0.745 0.745 0.745
Te: 0.500 0.500 0.500

Record 3
Entry from Alexandria via LeMat-Bulk: a relaxed TaMnTe2 crystal (PBE).

E_form (uncorrected) = 0.749 eV per atom
Symmetry = I-42d, No. 122

Cell: 7.163 7.163 7.163 Å, 129.06 129.06 74.92°
Positions (direct):
Ta: 0.000 0.000 0.000
Ta: 0.750 0.250 0.500
Mn: 0.250 0.750 0.500
Mn: 0.500 0.500 0.000
Te: 0.157 0.625 0.032
Te: 0.375 0.407 0.532
Te: 0.593 0.125 0.968
Te: 0.875 0.843 0.468

Record 4
Entry from Alexandria via LeMat-Bulk: a relaxed TaMn2Te crystal (PBE).

E_form (uncorrected) = 0.222 eV per atom
Symmetry = P4mm, No. 99

Cell: 3.389 3.389 5.817 Å, 90.00 90.00 90.00°
Positions (direct):
Ta: 0.000 0.000 0.000
Mn: 0.000 0.000 0.556
Mn: 0.500 0.500 0.782
Te: 0.500 0.500 0.301

Record 5
Entry from Alexandria via LeMat-Bulk: a relaxed TaTi2Mn2 crystal (PBE).

Energy of formation from the pure elements = -0.209 eV/atom
Symmetry = Cmcm, No. 63
Excess energy over the best structure of this formula in the dataset = 0.000 eV per atom

Cell: 10.875 10.875 4.385 Å, 90.00 90.00 163.93°
Positions (direct):
Ta: 0.143 0.857 0.750
Ta: 0.857 0.143 0.250
Ti: 0.047 0.953 0.250
Ti: 0.238 0.762 0.250
Ti: 0.762 0.238 0.750
Ti: 0.953 0.047 0.750
Mn: 0.353 0.647 0.750
Mn: 0.452 0.548 0.250
Mn: 0.548 0.452 0.750
Mn: 0.647 0.353 0.250

Record 6
Entry from Alexandria via LeMat-Bulk: a relaxed TaTi2Mn crystal (PBE).

Energy of formation from the pure elements = 0.343 eV/atom
Symmetry = I-42d, No. 122
Excess energy over the best structure of this formula in the dataset = 0.447 eV per atom

Cell: 5.612 5.612 5.612 Å, 102.94 102.94 123.52°
Positions (direct):
Ta: 0.000 0.000 0.000
Ta: 0.750 0.250 0.500
Ti: 0.172 0.625 0.047
Ti: 0.375 0.422 0.547
Ti: 0.578 0.125 0.953
Ti: 0.875 0.828 0.453
Mn: 0.250 0.750 0.500
Mn: 0.500 0.500 0.000

Record 7
Entry from Alexandria via LeMat-Bulk: a relaxed TaTi2Mn crystal (PBE).

Energy of formation from the pure elements = -0.104 eV/atom
Symmetry = P4/mmm, No. 123
Excess energy over the best structure of this formula in the dataset = 0.000 eV per atom

Cell: 2.995 2.995 6.895 Å, 90.00 90.00 90.00°
Positions (direct):
Ta: 0.000 0.000 0.000
Ti: 0.500 0.500 0.292
Ti: 0.500 0.500 0.708
Mn: 0.000 0.000 0.500

Record 8
Entry from Alexandria via LeMat-Bulk: a relaxed Ta3TiMn2 crystal (PBE).

Energy of formation from the pure elements = -0.145 eV/atom
Symmetry = P4/mmm, No. 123

Cell: 3.080 3.080 9.734 Å, 90.00 90.00 90.00°
Positions (direct):
Ta: 0.000 0.000 0.000
Ta: 0.000 0.000 0.312
Ta: 0.000 0.000 0.688
Ti: 0.500 0.500 0.500
Mn: 0.500 0.500 0.157
Mn: 0.500 0.500 0.843

Q: What is the formula in the first record?
A: TaMnTe2